A plane-wave DFT calculation with PBE+U was carried out for a relaxed MnCu2S2O8 crystal.

Calculated values
total energy = -5.767 eV per atom

Cell: 6.1248 8.5114 8.9732 Å, 90.00 132.04 90.00°
Last column: nearest neighbours and their distance in Å.
Space group P2_1/c (No. 14)
Asymmetric unit:
Mn1 0.0000 0.0000 0.0000  2 O 1.84
Cu1 0.2105 0.2079 0.3956  4 O 1.83-2.02
S1 0.3677 0.6320 0.1627  3 O 1.54-1.58
O1 0.0877 0.0338 0.2380  1 Cu 1.83, 1 Mn 1.84
O2 0.1295 0.7376 0.1258  1 S 1.55
O3 0.3766 0.1202 0.1011  1 S 1.58
O4 0.4742 0.7492 0.5937  1 S 1.54